Density functional theory data (PBE) for a relaxed Ta2AgSb crystal.

## Properties
Its space-group type is P4/mmm (123). For the total energy, the calculation gives -7.22 eV per atom. Its formation energy without anion corrections is 452 meV per atom.

abc: 3.0597 3.0597 8.0950
angles: 90.00 90.00 90.00
With the nearest neighbours (Å) after each atom.
Atoms (fractional coordinates):
1 Sb 0.5000 0.5000 0.7500  8 Ta 3.00, 4 Sb 3.06
2 Ag 0.5000 0.5000 0.2500  8 Ta 2.93, 4 Ag 3.06
3 Ta 0.0000 0.0000 0.0059  4 Ag 2.93, 4 Sb 3.00, 4 Ta 3.06
4 Ta 0.0000 0.0000 0.4941  4 Ag 2.93, 4 Sb 3.00, 4 Ta 3.06